# MnBePt3, single point on PBEsol structure, DFT SCAN
data_MnBePt3
_space_group_name_H-M_alt 'P m -3 m'
_space_group_IT_number 221
_space_group_name_Hall '-P 4 2 3'
_cell_length_a 4.526
_cell_length_b 4.526
_cell_length_c 4.526
_cell_angle_alpha 90.00
_cell_angle_beta 90.00
_cell_angle_gamma 90.00
loop_
_atom_site_label
_atom_site_type_symbol
_atom_site_fract_x
_atom_site_fract_y
_atom_site_fract_z
Mn1 Mn 0.000 0.000 0.000
Be1 Be 0.500 0.500 0.500
Pt1 Pt 0.000 0.000 0.500
# **Formation energy**: 1.133 eV/atom
# **Total magnetization**: 4.39 μB/cell